[1]
Compound: KSrNbAl2
Source: the Alexandria database
Functional: PBE
Structure: optimized geometry

As for the formation energy: 1.5501 eV per atom.

The structure belongs to space group P4/mmm (No. 123); the cell edges are 5.548, 5.548 and 5.170 Å and the angles 90.00°, 90.00° and 90.00°. Symmetry generates all atoms from K at (0.000, 0.000, 0.000), Sr at (0.500, 0.500, 0.500), Nb at (0.000, 0.000, 0.500) and Al at (0.000, 0.500, 0.000).


[2]
Compound: NdDy3Tl2
Source: the Alexandria database
Functional: PBE
Structure: optimized geometry

For the energy above the lowest structure with this stoichiometry, the calculation gives 95 meV per atom. As for the formation energy: -0.1740 eV per atom.

The structure belongs to space group C2/m (No. 12); the cell edges are 16.506, 5.411 and 9.317 Å and the angles 90.00°, 119.32° and 90.00°. Symmetry generates all atoms from Nd at (0.131, 0.000, 0.172), Dy at (0.060, 0.000, 0.715), Dy at (0.116, 0.500, 0.541), Dy at (0.193, 0.500, 0.992), Tl at (0.018, 0.500, 0.172) and Tl at (0.223, 0.000, 0.594).


[3]
Compound: RbTlAg2
Source: the Alexandria database
Functional: PBE
Structure: optimized geometry

For the energy above the lowest structure with this stoichiometry, the calculation gives 211 meV per atom. As for the formation energy: 0.2284 eV per atom.

The structure belongs to space group Fm-3m (No. 225); the cell edges are 7.796, 7.796 and 7.796 Å and the angles 90.00°, 90.00° and 90.00°. Symmetry generates all atoms from Rb at (0.000, 0.000, 0.000), Tl at (0.000, 0.000, 0.500) and Ag at (0.250, 0.250, 0.250).


[4]
Compound: SnAsPbBr2
Source: the Alexandria database
Functional: PBE
Structure: optimized geometry

The uncorrected formation energy is 0.017 eV per atom. For the energy above the lowest structure with this stoichiometry, the calculation gives 0 meV per atom.

The structure belongs to space group P4/mmm (No. 123); the cell edges are 5.506, 5.506 and 5.485 Å and the angles 90.00°, 90.00° and 90.00°. Symmetry generates all atoms from Sn at (0.000, 0.000, 0.000), As at (0.000, 0.000, 0.500), Pb at (0.500, 0.500, 0.500) and Br at (0.000, 0.500, 0.000).


[5]
Compound: MgNbCd
Source: the Alexandria database
Functional: PBE
Structure: optimized geometry

As for the formation energy: 0.2552 eV per atom.

The structure belongs to space group Fmmm (No. 69); the cell edges are 5.379, 8.357 and 10.831 Å and the angles 90.00°, 90.00° and 90.00°. Symmetry generates all atoms from Mg at (0.000, 0.000, 0.122), Nb at (0.000, 0.165, 0.500) and Cd at (0.250, 0.250, 0.250).


[6]
Compound: NaTc2AgO6
Source: the Alexandria database
Functional: PBE
Structure: optimized geometry

The uncorrected formation energy is -1.095 eV per atom.

The structure belongs to space group C2/c (No. 15); the cell edges are 11.983, 9.403 and 6.718 Å and the angles 90.00°, 113.65° and 90.00°. Symmetry generates all atoms from Na at (0.000, 0.080, 0.250), Tc at (0.241, 0.326, 0.148), Ag at (0.000, 0.330, 0.750), O at (0.107, 0.126, 0.673), O at (0.147, 0.468, 0.004) and O at (0.165, 0.212, 0.257).


[7]
Compound: NaSm3S4
Source: the Alexandria database
Functional: PBE
Structure: optimized geometry

The uncorrected formation energy is -1.940 eV per atom. For the energy above the lowest structure with this stoichiometry, the calculation gives 0 meV per atom.

The structure belongs to space group Pm-3m (No. 221); the cell edges are 5.667, 5.667 and 5.667 Å and the angles 90.00°, 90.00° and 90.00°. Symmetry generates all atoms from Na at (0.000, 0.000, 0.000), Sm at (0.000, 0.500, 0.500), S at (0.000, 0.000, 0.500) and S at (0.500, 0.500, 0.500).


[8]
Compound: HfAlRh2
Source: the Alexandria database
Functional: PBE
Structure: optimized geometry

As for the formation energy: -0.9718 eV per atom.

The structure belongs to space group P4/mmm (No. 123); the cell edges are 4.439, 4.439 and 3.173 Å and the angles 90.00°, 90.00° and 90.00°. Symmetry generates all atoms from Hf at (0.000, 0.000, 0.000), Al at (0.500, 0.500, 0.000) and Rh at (0.000, 0.500, 0.500).


[9]
Compound: InAgPd
Source: the Alexandria database
Functional: PBE
Structure: optimized geometry

For the energy above the lowest structure with this stoichiometry, the calculation gives 93 meV per atom. As for the formation energy: -0.2177 eV per atom.

The structure belongs to space group P3m1 (No. 156); the cell edges are 4.5747, 4.5747 and 3.0271 Å and the angles 90.00°, 90.00° and 120.00°. Symmetry generates all atoms from In at (0.0000, 0.0000, 0.0000), Ag at (0.3333, 0.6667, 0.6600) and Pd at (0.6667, 0.3333, 0.2565).


[10]
Compound: CaCd2Cu
Source: the Alexandria database
Functional: PBE
Structure: optimized geometry

As for the formation energy: -0.0719 eV per atom.

The structure belongs to space group Fm-3m (No. 225); the cell edges are 7.025, 7.025 and 7.025 Å and the angles 90.00°, 90.00° and 90.00°. Symmetry generates all atoms from Ca at (0.000, 0.000, 0.000), Cd at (0.250, 0.250, 0.250) and Cu at (0.000, 0.000, 0.500).


[11]
Compound: ScMo3
Source: the Alexandria database
Functional: PBE
Structure: optimized geometry

As for the formation energy: 0.0930 eV per atom.

The structure belongs to space group Cmmm (No. 65); the cell edges are 3.238, 4.568 and 9.162 Å and the angles 90.00°, 90.00° and 90.00°. Symmetry generates all atoms from Sc at (0.000, 0.000, 0.000), Mo at (0.000, 0.000, 0.500) and Mo at (0.000, 0.500, 0.264).


[12]
Compound: PaGa2Br7
Source: the Alexandria database
Functional: PBE
Structure: optimized geometry

The uncorrected formation energy is -1.042 eV per atom.

The structure belongs to space group C2/c (No. 15); the cell edges are 17.316, 8.680 and 13.396 Å and the angles 90.00°, 122.76° and 90.00°. Symmetry generates all atoms from Pa at (0.000, 0.193, 0.250), Ga at (0.077, 0.258, 0.019), Br at (0.000, 0.128, 0.750), Br at (0.042, 0.466, 0.162), Br at (0.087, 0.141, 0.494) and Br at (0.170, 0.139, 0.286).


[13]
Compound: PaSi2Mo
Source: the Alexandria database
Functional: PBE
Structure: optimized geometry

The uncorrected formation energy is -0.297 eV per atom. For the energy above the lowest structure with this stoichiometry, the calculation gives 225 meV per atom.

The structure belongs to space group Cmcm (No. 63); the cell edges are 3.354, 10.634 and 8.073 Å and the angles 90.00°, 90.00° and 90.00°. Symmetry generates all atoms from Pa at (0.000, 0.035, 0.250), Si at (0.000, 0.350, 0.034) and Mo at (0.000, 0.232, 0.750).


[14]
Compound: Mn2AuSe
Source: the Alexandria database
Functional: PBE
Structure: optimized geometry

The uncorrected formation energy is 0.073 eV per atom.

The structure belongs to space group Amm2 (No. 38); the cell edges are 4.010, 3.578 and 10.175 Å and the angles 90.00°, 90.00° and 90.00°. Symmetry generates all atoms from Mn at (0.000, 0.000, 0.000), Mn at (0.500, 0.000, 0.240), Au at (0.000, 0.000, 0.734) and Se at (0.500, 0.000, 0.493).


[15]
Compound: LaYHoHg
Source: the Alexandria database
Functional: PBE
Structure: optimized geometry

For the energy above the lowest structure with this stoichiometry, the calculation gives 0 meV per atom. As for the formation energy: -0.2326 eV per atom.

The structure belongs to space group P4mm (No. 99); the cell edges are 3.672, 3.672 and 8.925 Å and the angles 90.00°, 90.00° and 90.00°. Symmetry generates all atoms from La at (0.000, 0.000, 0.000), Y at (0.500, 0.500, 0.709), Ho at (0.500, 0.500, 0.285) and Hg at (0.000, 0.000, 0.493).


[16]
Compound: K2BaSbH
Source: the Alexandria database
Functional: PBE
Structure: optimized geometry

Its total energy is -2.86 eV/atom.

The structure belongs to space group P4/mmm (No. 123); the cell edges are 5.252, 5.252 and 5.781 Å and the angles 90.00°, 90.00° and 90.00°. Symmetry generates all atoms from K at (0.000, 0.500, 0.000), Ba at (0.000, 0.000, 0.500), Sb at (0.500, 0.500, 0.500) and H at (0.000, 0.000, 0.000).


[17]
Compound: TbSm3Te
Source: the Alexandria database
Functional: PBE
Structure: optimized geometry

The uncorrected formation energy is -0.300 eV per atom.

The structure belongs to space group Imma (No. 74); the cell edges are 7.896, 11.182 and 8.082 Å and the angles 90.00°, 90.00° and 90.00°. Symmetry generates all atoms from Tb at (0.000, 0.250, 0.032), Sm at (0.000, 0.250, 0.460), Sm at (0.250, 0.025, 0.250) and Te at (0.250, 0.250, 0.750).


[18]
Compound: Zn2RhPb
Source: the Alexandria database
Functional: PBE
Structure: optimized geometry

As for the formation energy: -0.0313 eV per atom.

The structure belongs to space group Pm (No. 6); the cell edges are 3.295, 4.181 and 5.552 Å and the angles 90.00°, 106.03° and 90.00°. Symmetry generates all atoms from Zn at (0.000, 0.000, 0.000), Zn at (0.443, 0.500, 0.876), Rh at (0.308, 0.000, 0.601) and Pb at (0.713, 0.500, 0.390).


[19]
Compound: Rb3Hg5Au2
Source: the Alexandria database
Functional: PBE
Structure: optimized geometry

As for the formation energy: -0.2048 eV per atom.

The structure belongs to space group Ibam (No. 72); the cell edges are 12.014, 15.786 and 7.360 Å and the angles 90.00°, 90.00° and 90.00°. Symmetry generates all atoms from Rb at (0.000, 0.000, 0.250), Rb at (0.219, 0.360, 0.000), Hg at (0.000, 0.229, 0.250), Hg at (0.000, 0.500, 0.250), Hg at (0.112, 0.369, 0.500) and Au at (0.153, 0.143, 0.000).


[20]
Compound: Rb2AcSb2S6
Source: the Alexandria database
Functional: PBE
Structure: optimized geometry

The uncorrected formation energy is -0.891 eV per atom.

The structure belongs to space group C2/m (No. 12); the cell edges are 12.420, 7.637 and 9.034 Å and the angles 90.00°, 116.98° and 90.00°. Symmetry generates all atoms from Rb at (0.197, 0.000, 0.163), Ac at (0.000, 0.000, 0.500), Sb at (0.051, 0.500, 0.198), S at (0.060, 0.245, 0.788) and S at (0.246, 0.500, 0.434).